Entry from Alexandria: crystalline Sc4CrCl at its relaxed geometry (GGA-PBE).

Cell: 5.9495 5.9495 5.9495 Å, 60.00 60.00 60.00°
With the nearest neighbours (Å) after each atom.
Fractional coordinates of all 6 atoms:
Sc 0.3774 0.3774 0.3774  6 Sc 2.92-3.03
Sc 0.3774 0.3774 0.8678  6 Sc 2.92-3.03
Sc 0.3774 0.8678 0.3774  6 Sc 2.92-3.03
Sc 0.8678 0.3774 0.3774  6 Sc 2.92-3.03
Cr 0.7500 0.7500 0.7500  12 Sc 3.48, 4 Cl 3.64
Cl 0.0000 0.0000 0.0000  12 Sc 3.49, 4 Cr 3.64

Results
formation energy without anion corrections = 0.571 eV/atom
ρ = 2.98 g/cm3
SG = F-43m (216)
total moment = 4.62 μB per cell